Record 1
{
  "formula": "NdAl4Ir2",
  "functional": "GGA-PBE",
  "state": "relaxed",
  "total_energy_ev_per_atom": -6.123,
  "space_group": "Pnma, No. 62",
  "ef_ev_per_atom": -0.772,
  "volume_a3_per_atom": 17.782,
  "cell": [[4.3168, 0.0000, 0.0000], [0.0000, 6.6322, 0.0000], [0.0000, 0.0000, 17.3904]],
  "species": ["Nd", "Nd", "Nd", "Nd", "Al", "Al", "Al", "Al", "Al", "Al", "Al", "Al", "Al", "Al", "Al", "Al", "Al", "Al", "Al", "Al", "Ir", "Ir", "Ir", "Ir", "Ir", "Ir", "Ir", "Ir"],
  "frac_coords": [[0.2500, 0.4940, 0.8606], [0.7500, 0.5060, 0.1394], [0.2500, 0.0060, 0.3606], [0.7500, 0.9940, 0.6394], [0.7500, 0.5049, 0.5696], [0.7500, 0.7861, 0.8068], [0.7500, 0.8422, 0.4680], [0.7500, 0.6578, 0.9680], [0.7500, 0.3116, 0.3117], [0.2500, 0.0049, 0.9304], [0.2500, 0.2861, 0.6932], [0.2500, 0.2139, 0.1932], [0.2500, 0.3422, 0.0320], [0.2500, 0.4951, 0.4304], [0.2500, 0.1578, 0.5320], [0.7500, 0.1884, 0.8117], [0.2500, 0.6884, 0.6883], [0.7500, 0.9951, 0.0696], [0.7500, 0.7139, 0.3068], [0.2500, 0.8116, 0.1883], [0.2500, 0.5132, 0.2856], [0.2500, 0.7452, 0.0381], [0.7500, 0.4868, 0.7144], [0.7500, 0.0132, 0.2144], [0.2500, 0.9868, 0.7856], [0.2500, 0.7548, 0.5381], [0.7500, 0.2548, 0.9619], [0.7500, 0.2452, 0.4619]]
}

=====

Record 2
{
  "formula": "Nd3Al4Ir4",
  "functional": "GGA-PBE",
  "state": "relaxed",
  "total_energy_ev_per_atom": -6.563,
  "space_group": "I-43m, No. 217",
  "ef_ev_per_atom": -0.679,
  "volume_a3_per_atom": 20.836,
  "cell": [[-1.2362, -4.2093, 5.0341], [6.2893, 2.2014, 0.4327], [-4.2001, 5.1795, 0.3471]],
  "species": ["Ir", "Ir", "Ir", "Ir", "Nd", "Nd", "Nd", "Al", "Al", "Al", "Al"],
  "frac_coords": [[0.0000, 0.6254, 0.0000], [0.3746, 0.3746, 0.3746], [0.6254, 0.0000, 0.0000], [0.0000, 0.0000, 0.6254], [0.5000, 0.0000, 0.5000], [0.5000, 0.5000, 0.0000], [0.0000, 0.5000, 0.5000], [0.0000, 0.2612, 0.0000], [0.0000, 0.0000, 0.2612], [0.2612, 0.0000, 0.0000], [0.7388, 0.7388, 0.7388]]
}

=====

Record 3
{
  "formula": "NdAl3Ir",
  "functional": "GGA-PBE",
  "state": "relaxed",
  "total_energy_ev_per_atom": -5.712,
  "space_group": "Pnma, No. 62",
  "ef_ev_per_atom": -0.740,
  "volume_a3_per_atom": 19.778,
  "cell": [[4.2347, 0.0000, 0.0000], [0.0000, 8.4620, 0.0000], [0.0000, 0.0000, 11.0389]],
  "species": ["Nd", "Nd", "Nd", "Nd", "Al", "Al", "Al", "Al", "Al", "Al", "Al", "Al", "Al", "Al", "Al", "Al", "Ir", "Ir", "Ir", "Ir"],
  "frac_coords": [[0.7500, 0.3073, 0.4823], [0.2500, 0.6927, 0.5177], [0.7500, 0.8073, 0.0177], [0.2500, 0.1927, 0.9823], [0.7500, 0.1140, 0.2141], [0.2500, 0.0513, 0.4178], [0.2500, 0.3525, 0.2758], [0.2500, 0.5513, 0.0822], [0.7500, 0.4487, 0.9178], [0.2500, 0.8525, 0.2242], [0.2500, 0.8860, 0.7859], [0.7500, 0.9487, 0.5822], [0.7500, 0.1475, 0.7758], [0.2500, 0.3860, 0.7141], [0.7500, 0.6140, 0.2859], [0.7500, 0.6475, 0.7242], [0.7500, 0.8921, 0.3538], [0.2500, 0.1079, 0.6462], [0.2500, 0.6079, 0.8538], [0.7500, 0.3921, 0.1462]]
}

=====

Record 4
{
  "formula": "NdAl3Ir2",
  "functional": "GGA-PBE",
  "state": "relaxed",
  "total_energy_ev_per_atom": -6.431,
  "space_group": "C2/m, No. 12",
  "ef_ev_per_atom": -0.812,
  "volume_a3_per_atom": 18.342,
  "cell": [[-0.3718, 0.6476, -4.0944], [2.7843, -8.0318, 0.5922], [-9.9321, -0.5714, 0.8115]],
  "species": ["Al", "Al", "Al", "Al", "Al", "Al", "Al", "Al", "Al", "Ir", "Ir", "Ir", "Ir", "Ir", "Ir", "Nd", "Nd", "Nd"],
  "frac_coords": [[0.0468, 0.0937, 0.3464], [0.9532, 0.9063, 0.6536], [0.6741, 0.3482, 0.9633], [0.3716, 0.7432, 0.7945], [0.3259, 0.6518, 0.0367], [0.6284, 0.2568, 0.2055], [0.5000, 0.0000, 0.5000], [0.7838, 0.5676, 0.6058], [0.2162, 0.4324, 0.3942], [0.3624, 0.7248, 0.5456], [0.6376, 0.2752, 0.4544], [0.4736, 0.9471, 0.2253], [0.5264, 0.0529, 0.7747], [0.8087, 0.6175, 0.8760], [0.1913, 0.3825, 0.1240], [0.1610, 0.3220, 0.7098], [0.0000, 0.0000, 0.0000], [0.8390, 0.6780, 0.2902]]
}